[1]
Density functional theory data (GGA-PBE) for crystalline Tm2Ni2Pb at its relaxed geometry.

POSCAR file:
```
Tm2Ni2Pb
1.0
2.0447 -7.0535 0.0000
2.0447 7.0535 0.0000
0.0000 0.0000 3.5414
Tm Ni Pb
2 2 1
Direct
0.1426 0.8574 0.0000 Tm
0.8574 0.1426 0.0000 Tm
0.2990 0.7010 0.5000 Ni
0.7010 0.2990 0.5000 Ni
0.5000 0.5000 0.5000 Pb
```

space-group type	Cmmm, No. 65
energy relative to the elements	-0.532	eV/atom

[2]
Density functional theory data (GGA-PBE) for crystalline ZnAgGeOs2 at its relaxed geometry.

POSCAR file:
```
ZnAgGeOs2
1.0
4.5766 0.0000 0.0000
0.0000 4.5766 0.0000
0.0000 0.0000 4.5634
Zn Ag Ge Os
1 1 1 2
Direct
0.0000 0.0000 0.0000 Zn
0.5000 0.5000 0.0000 Ag
0.0000 0.0000 0.5000 Ge
0.0000 0.5000 0.5000 Os
0.5000 0.0000 0.5000 Os
```

space-group type	P4/mmm, No. 123
energy relative to the elements	1.388	eV/atom

[3]
Density functional theory data (GGA-PBE) for crystalline NaTbDy at its relaxed geometry.

POSCAR file:
```
NaTbDy
1.0
3.5369 0.0000 0.0000
-1.7685 3.0631 0.0000
0.0000 0.0000 9.1458
Na Tb Dy
1 1 1
Direct
0.0000 0.0000 0.0000 Na
0.6667 0.3333 0.3504 Tb
0.3333 0.6667 0.6507 Dy
```

space-group type	P3m1, No. 156
energy relative to the elements	0.136	eV/atom
energy above the lowest structure with this stoichiometry	0	meV per atom

[4]
Density functional theory data (GGA-PBE) for crystalline La2CoAs4Pd3 at its relaxed geometry.

POSCAR file:
```
La2CoAs4Pd3
1.0
4.3892 0.0000 0.0000
0.0000 4.3892 0.0000
0.0000 0.0000 10.0741
La Co As Pd
2 1 4 3
Direct
0.0000 0.5000 0.2461 La
0.5000 0.0000 0.7539 La
0.5000 0.5000 0.0000 Co
0.0000 0.0000 0.5000 As
0.0000 0.5000 0.8741 As
0.5000 0.0000 0.1259 As
0.5000 0.5000 0.5000 As
0.0000 0.0000 0.0000 Pd
0.0000 0.5000 0.6255 Pd
0.5000 0.0000 0.3745 Pd
```

space-group type	P-4m2, No. 115
energy relative to the elements	-0.852	eV/atom

[5]
Density functional theory data (GGA-PBE) for crystalline PmHoPu at its relaxed geometry.

POSCAR file:
```
PmHoPu
1.0
3.5483 0.0000 0.0000
-1.7741 3.0729 0.0000
0.0000 0.0000 8.5770
Pm Ho Pu
1 1 1
Direct
0.0000 0.0000 0.0000 Pm
0.6667 0.3333 0.3404 Ho
0.3333 0.6667 0.6659 Pu
```

space-group type	P3m1, No. 156
energy relative to the elements	0.135	eV/atom
energy above the lowest structure with this stoichiometry	15	meV per atom

[6]
Density functional theory data (GGA-PBE) for crystalline K2PrBiTe4 at its relaxed geometry.

POSCAR file:
```
K2PrBiTe4
1.0
8.0474 0.0000 0.0000
0.0000 4.6118 0.0000
-2.6466 0.0000 8.2769
K Pr Bi Te
2 1 1 4
Direct
0.0000 0.0000 0.0000 K
0.5000 0.5000 0.0000 K
0.0000 0.5000 0.5000 Pr
0.5000 0.0000 0.5000 Bi
0.2414 0.0000 0.7146 Te
0.2657 0.5000 0.2872 Te
0.7343 0.5000 0.7128 Te
0.7586 0.0000 0.2854 Te
```

energy	-31.5	eV per cell
space-group type	P2/m, No. 10

[7]
Density functional theory data (GGA-PBE) for crystalline TbDyNiAu at its relaxed geometry.

POSCAR file:
```
TbDyNiAu
1.0
0.0000 3.5121 3.5121
3.5121 0.0000 3.5121
3.5121 3.5121 0.0000
Tb Dy Ni Au
1 1 1 1
Direct
0.0000 0.0000 0.0000 Tb
0.5000 0.5000 0.5000 Dy
0.2500 0.2500 0.2500 Ni
0.7500 0.7500 0.7500 Au
```

space-group type	F-43m, No. 216
energy relative to the elements	-0.582	eV/atom
energy above the lowest structure with this stoichiometry	55	meV per atom

[8]
Density functional theory data (GGA-PBE) for crystalline Na2Co3S4 at its relaxed geometry.

POSCAR file:
```
Na2Co3S4
1.0
0.0000 4.8367 6.0752
2.7524 0.0000 6.0752
2.7524 4.8367 0.0000
Na Co S
2 3 4
Direct
0.1445 0.1445 0.8555 Na
0.8555 0.8555 0.1445 Na
0.0000 0.0000 0.5000 Co
0.5000 0.5000 0.0000 Co
0.5000 0.5000 0.5000 Co
0.2124 0.5400 0.4600 S
0.4600 0.7876 0.2124 S
0.5400 0.2124 0.7876 S
0.7876 0.4600 0.5400 S
```

energy	-45.8	eV per cell
space-group type	Fmmm, No. 69

[9]
Density functional theory data (GGA-PBE) for crystalline Sr3ScRe at its relaxed geometry.

POSCAR file:
```
Sr3ScRe
1.0
5.8036 0.0000 0.0000
0.0000 5.8036 0.0000
0.0000 0.0000 5.8036
Sr Sc Re
3 1 1
Direct
0.0000 0.0000 0.5000 Sr
0.0000 0.5000 0.0000 Sr
0.5000 0.0000 0.0000 Sr
0.5000 0.5000 0.5000 Sc
0.0000 0.0000 0.0000 Re
```

space-group type	Pm-3m, No. 221
energy relative to the elements	1.024	eV/atom

[10]
Density functional theory data (GGA-PBE) for crystalline Hf2AlB2Os5 at its relaxed geometry.

POSCAR file:
```
Hf2AlB2Os5
1.0
9.4262 0.0000 0.0000
0.0000 9.4262 0.0000
0.0000 0.0000 3.0676
Hf Al B Os
4 2 4 10
Direct
0.1769 0.3231 0.0000 Hf
0.3231 0.8231 0.0000 Hf
0.6769 0.1769 0.0000 Hf
0.8231 0.6769 0.0000 Hf
0.0000 0.0000 0.0000 Al
0.5000 0.5000 0.0000 Al
0.1247 0.6247 0.0000 B
0.3753 0.1247 0.0000 B
0.6247 0.8753 0.0000 B
0.8753 0.3753 0.0000 B
0.0000 0.5000 0.5000 Os
0.0684 0.7850 0.5000 Os
0.2150 0.0684 0.5000 Os
0.2850 0.5684 0.5000 Os
0.4316 0.2850 0.5000 Os
0.5000 0.0000 0.5000 Os
0.5684 0.7150 0.5000 Os
0.7150 0.4316 0.5000 Os
0.7850 0.9316 0.5000 Os
0.9316 0.2150 0.5000 Os
```

space-group type	P4/mbm, No. 127
energy relative to the elements	-0.557	eV/atom

[11]
Density functional theory data (GGA-PBE) for crystalline Sc2CuTc at its relaxed geometry.

POSCAR file:
```
Sc2CuTc
1.0
1.5937 0.9201 8.3000
-1.5937 0.9201 8.3000
0.0000 -1.8402 8.3000
Sc Cu Tc
2 1 1
Direct
0.2455 0.2455 0.2455 Sc
0.7545 0.7545 0.7545 Sc
0.0000 0.0000 0.0000 Cu
0.5000 0.5000 0.5000 Tc
```

space-group type	R-3m, No. 166
energy relative to the elements	0.012	eV/atom

[12]
Density functional theory data (GGA-PBE) for crystalline AcTb2Cd6 at its relaxed geometry.

POSCAR file:
```
AcTb2Cd6
1.0
8.7690 0.0000 0.0000
-4.3845 7.5942 0.0000
0.0000 0.0000 3.5623
Ac Tb Cd
1 2 6
Direct
0.0000 0.0000 0.0000 Ac
0.3333 0.6667 0.0000 Tb
0.6667 0.3333 0.0000 Tb
0.0000 0.3398 0.5000 Cd
0.0000 0.6602 0.5000 Cd
0.3398 0.0000 0.5000 Cd
0.3398 0.3398 0.5000 Cd
0.6602 0.0000 0.5000 Cd
0.6602 0.6602 0.5000 Cd
```

space-group type	P6/mmm, No. 191
energy relative to the elements	-0.303	eV/atom

[13]
Density functional theory data (GGA-PBE) for crystalline RePbAu2 at its relaxed geometry.

POSCAR file:
```
RePbAu2
1.0
1.5197 0.8774 9.8079
-1.5197 0.8774 9.8079
0.0000 -1.7548 9.8079
Re Pb Au
1 1 2
Direct
0.0000 0.0000 0.0000 Re
0.5000 0.5000 0.5000 Pb
0.2594 0.2594 0.2594 Au
0.7406 0.7406 0.7406 Au
```

space-group type	R-3m, No. 166
energy relative to the elements	0.546	eV/atom

[14]
Density functional theory data (GGA-PBE) for crystalline ErSbPdRu at its relaxed geometry.

POSCAR file:
```
ErSbPdRu
1.0
0.0000 3.3337 3.3337
3.3337 0.0000 3.3337
3.3337 3.3337 0.0000
Er Sb Pd Ru
1 1 1 1
Direct
0.0000 0.0000 0.0000 Er
0.5000 0.5000 0.5000 Sb
0.7500 0.7500 0.7500 Pd
0.2500 0.2500 0.2500 Ru
```

energy	-25.3	eV per cell
space-group type	F-43m, No. 216

[15]
Density functional theory data (GGA-PBE) for crystalline NaTb4ScS8 at its relaxed geometry.

POSCAR file:
```
NaTb4ScS8
1.0
4.0551 2.3412 6.4595
-4.0551 2.3412 6.4595
0.0000 -4.6824 6.4595
Na Tb Sc S
1 4 1 8
Direct
0.0000 0.0000 0.0000 Na
0.1097 0.6263 0.6262 Tb
0.2448 0.2448 0.2448 Tb
0.6262 0.1097 0.6262 Tb
0.6262 0.6262 0.1097 Tb
0.6286 0.6286 0.6286 Sc
0.3796 0.3796 0.3796 S
0.3864 0.3864 0.8435 S
0.3864 0.8435 0.3864 S
0.4085 0.8516 0.8516 S
0.8435 0.3864 0.3864 S
0.8516 0.4085 0.8516 S
0.8516 0.8516 0.4085 S
0.8622 0.8622 0.8622 S
```

energy	-86.1	eV per cell
space-group type	R3m, No. 160

[16]
Density functional theory data (GGA-PBE) for crystalline Tb2ErPt3 at its relaxed geometry.

POSCAR file:
```
Tb2ErPt3
1.0
-2.0394 2.8758 6.0881
2.0394 -2.8758 6.0881
2.0394 2.8758 -6.0881
Tb Er Pt
2 1 3
Direct
0.1674 0.1674 0.0000 Tb
0.8326 0.8326 0.0000 Tb
0.5000 0.5000 0.0000 Er
0.0000 0.5000 0.5000 Pt
0.3360 0.8360 0.5000 Pt
0.6640 0.1640 0.5000 Pt
```

space-group type	Immm, No. 71
energy relative to the elements	-1.130	eV/atom
energy above the lowest structure with this stoichiometry	93	meV per atom

[17]
Density functional theory data (GGA-PBE) for crystalline CuAsCl2 at its relaxed geometry.

POSCAR file:
```
CuAsCl2
1.0
3.8606 -1.6860 0.0000
3.8606 1.6860 0.0000
-0.6686 0.0000 7.9129
Cu As Cl
1 1 2
Direct
0.0000 0.0000 0.0000 Cu
0.3190 0.3190 0.8534 As
0.4020 0.4020 0.5971 Cl
0.6138 0.6138 0.1708 Cl
```

space-group type	Cm, No. 8
energy above the lowest structure with this stoichiometry	0	meV per atom

[18]
Density functional theory data (GGA-PBE) for crystalline Cs2AgTeCl6 at its relaxed geometry.

POSCAR file:
```
Cs2AgTeCl6
1.0
-3.8172 3.8172 5.5141
3.8172 -3.8172 5.5141
3.8172 3.8172 -5.5141
Cs Ag Te Cl
2 1 1 6
Direct
0.2500 0.7500 0.5000 Cs
0.7500 0.2500 0.5000 Cs
0.0000 0.0000 0.0000 Ag
0.5000 0.5000 0.0000 Te
0.2429 0.2429 0.4858 Cl
0.2429 0.7571 0.0000 Cl
0.2652 0.2652 0.0000 Cl
0.7348 0.7348 0.0000 Cl
0.7571 0.2429 0.0000 Cl
0.7571 0.7571 0.5142 Cl
```

energy	-29.8	eV per cell
space-group type	I4/mmm, No. 139

[19]
Density functional theory data (GGA-PBE) for crystalline Cs2LiUS4 at its relaxed geometry.

POSCAR file:
```
Cs2LiUS4
1.0
0.0000 7.4054 12.8558
3.1931 0.0000 12.8558
3.1931 7.4054 0.0000
Cs Li U S
4 2 2 8
Direct
0.0542 0.0542 0.6958 Cs
0.3042 0.3042 0.9458 Cs
0.6958 0.6958 0.0542 Cs
0.9458 0.9458 0.3042 Cs
0.3750 0.3750 0.3750 Li
0.6250 0.6250 0.6250 Li
0.1250 0.1250 0.1250 U
0.8750 0.8750 0.8750 U
0.0239 0.3237 0.4207 S
0.2683 0.5793 0.6763 S
0.3237 0.0239 0.7317 S
0.4207 0.7317 0.0239 S
0.5793 0.2683 0.9761 S
0.6763 0.9761 0.2683 S
0.7317 0.4207 0.3237 S
0.9761 0.6763 0.5793 S
```

energy	-81.0	eV per cell
space-group type	Fddd, No. 70

[20]
Density functional theory data (GGA-PBE) for crystalline LiY2Ta at its relaxed geometry.

POSCAR file:
```
LiY2Ta
1.0
0.0000 3.6263 3.6263
3.6263 0.0000 3.6263
3.6263 3.6263 0.0000
Li Y Ta
1 2 1
Direct
0.0000 0.0000 0.0000 Li
0.5000 0.5000 0.5000 Y
0.7500 0.7500 0.7500 Y
0.2500 0.2500 0.2500 Ta
```

space-group type	F-43m, No. 216
energy relative to the elements	0.612	eV/atom
energy above the lowest structure with this stoichiometry	362	meV per atom

| no. | volume (Å³ per atom) |
| --- | --- |
| 1 | 20.4 |
| 2 | 19.1 |
| 3 | 33.0 |
| 4 | 19.4 |
| 5 | 31.2 |
| 6 | 38.4 |
| 7 | 21.7 |
| 8 | 18.0 |
| 9 | 39.1 |
| 10 | 13.6 |
| 11 | 18.3 |
| 12 | 26.4 |
| 13 | 19.6 |
| 14 | 18.5 |
| 15 | 26.3 |
| 16 | 23.8 |
| 17 | 25.8 |
| 18 | 32.1 |
| 19 | 38.0 |
| 20 | 23.8 |